Entry 1:
Entry from the Alexandria database: an optimized crystal structure of CaGeOs3 (PBE-GGA).

```
CaGeOs3
1.0
4.617 0.000 0.000
0.000 4.617 0.000
0.000 0.000 4.617
Ca Ge Os
1 1 3
Direct
0.000 0.000 0.000
0.500 0.500 0.500
0.000 0.500 0.500
0.500 0.000 0.500
0.500 0.500 0.000
```

Values from the calculation:
energy	-34.464	eV/f.u.
energy above the lowest structure with this stoichiometry	0	meV per atom
Fermi-level density of states	5.75	states/eV/cell
calculated formation energy	1.17	eV/atom

---

Entry 2:
Entry from the Alexandria database: an optimized crystal structure of Si5Sn3S12 (PBE-GGA).

```
Si5Sn3S12
1.0
-7.512 7.512 7.512
7.512 -7.512 7.512
7.512 7.512 -7.512
Si Sn S
20 12 48
Direct
0.000 0.000 0.000
0.000 0.000 0.500
0.000 0.500 0.000
0.000 0.500 0.500
0.125 0.750 0.875
0.125 0.875 0.250
0.250 0.125 0.875
0.250 0.625 0.375
0.375 0.250 0.625
0.375 0.625 0.750
0.500 0.000 0.000
0.500 0.000 0.500
0.500 0.500 0.000
0.500 0.500 0.500
0.625 0.375 0.250
0.625 0.750 0.375
0.750 0.375 0.625
0.750 0.875 0.125
0.875 0.125 0.750
0.875 0.250 0.125
0.125 0.250 0.375
0.125 0.375 0.750
0.250 0.375 0.125
0.250 0.875 0.625
0.375 0.125 0.250
0.375 0.750 0.125
0.625 0.250 0.875
0.625 0.875 0.750
0.750 0.125 0.375
0.750 0.625 0.875
0.875 0.625 0.250
0.875 0.750 0.625
0.018 0.205 0.115
0.018 0.314 0.903
0.089 0.705 0.686
0.089 0.885 0.403
0.097 0.615 0.411
0.097 0.982 0.686
0.115 0.018 0.205
0.115 0.597 0.911
0.186 0.205 0.589
0.186 0.482 0.597
0.205 0.115 0.018
0.205 0.589 0.186
0.295 0.314 0.911
0.295 0.482 0.385
0.314 0.903 0.018
0.314 0.911 0.295
0.385 0.295 0.482
0.385 0.589 0.903
0.403 0.089 0.885
0.403 0.814 0.518
0.411 0.097 0.615
0.411 0.814 0.795
0.482 0.385 0.295
0.482 0.597 0.186
0.518 0.403 0.814
0.518 0.615 0.705
0.589 0.186 0.205
0.589 0.903 0.385
0.597 0.186 0.482
0.597 0.911 0.115
0.615 0.411 0.097
0.615 0.705 0.518
0.686 0.089 0.705
0.686 0.097 0.982
0.705 0.518 0.615
0.705 0.686 0.089
0.795 0.411 0.814
0.795 0.885 0.982
0.814 0.518 0.403
0.814 0.795 0.411
0.885 0.403 0.089
0.885 0.982 0.795
0.903 0.018 0.314
0.903 0.385 0.589
0.911 0.115 0.597
0.911 0.295 0.314
0.982 0.686 0.097
0.982 0.795 0.885
```

Values from the calculation:
energy	-95.773	eV/f.u.
Fermi-level density of states	37.56	states/eV/cell
formation energy from raw total energies	-0.36	eV/atom

---

Entry 3:
Entry from the Alexandria database: an optimized crystal structure of Tl3Au2 (PBE-GGA).

```
Tl3Au2
1.0
11.457 0.000 0.000
0.000 4.146 0.000
0.000 0.000 11.392
Tl Au
12 8
Direct
0.051 0.250 0.123
0.121 0.750 0.556
0.222 0.250 0.793
0.278 0.750 0.293
0.379 0.250 0.056
0.449 0.750 0.623
0.551 0.250 0.377
0.621 0.750 0.944
0.722 0.250 0.707
0.778 0.750 0.207
0.879 0.250 0.444
0.949 0.750 0.877
0.018 0.750 0.312
0.190 0.750 0.988
0.310 0.250 0.488
0.482 0.250 0.812
0.518 0.750 0.188
0.690 0.750 0.512
0.810 0.250 0.012
0.982 0.250 0.688
```

Values from the calculation:
energy	-13.728	eV/f.u.
energy above the lowest structure with this stoichiometry	0	meV per atom
Fermi-level density of states	7.70	states/eV/cell
calculated formation energy	-0.01	eV/atom

---

Among the records above, which one has the lowest energy? Si5Sn3S12

---

What is the Fermi-level density of states in the third record? 7.70 states/eV/cell